No. 1
PBEsol HgIO2, optimized geometry; M_tot = 0.01 μB per cell; D(E_F) = 4.5 states/eV/f.u.; uncorrected formation energy = 639 meV per atom; crystal system = cubic
1.0
-2.3687 -3.4972 1.0647
-0.0283 -1.4423 4.1102
-3.5777 0.4542 2.4430
Hg O I
1 2 1
Cartesian
-2.9874 -2.2427 3.8089 Hg
-1.4937 -1.1213 1.9045 O
-4.4811 -3.3640 5.7134 O
0.0000 0.0000 0.0000 I

No. 2
PBEsol ReHgI2O, optimized geometry; M_tot = 4.98 μB per cell; D(E_F) = 3.9 states/eV/f.u.; uncorrected formation energy = 1379 meV per atom; crystal system = tetragonal
1.0
-3.4920 -1.3360 -1.4242
-1.7119 -1.3042 5.4206
-2.2743 5.3406 0.5666
I Hg O Re
2 1 1 1
Cartesian
-1.1371 2.6703 0.2833 I
-0.8560 -0.6521 2.7103 I
0.0000 0.0000 0.0000 Hg
-1.7460 -0.6680 -0.7121 O
-3.7391 1.3502 2.2815 Re

No. 3
PBEsol HgSb2IO, optimized geometry; M_tot = 0.00 μB per cell; offset from the most stable computed form = 0 meV/atom; D(E_F) = 3.0 states/eV/f.u.; uncorrected formation energy = 67 meV per atom; crystal system = tetragonal
1.0
-2.2154 3.5747 -1.4444
-0.9371 -2.1151 -3.7974
-5.6389 -2.3937 2.7247
I Sb O Hg
1 2 1 1
Cartesian
-2.8194 -1.1969 1.3624 I
-1.1077 1.7873 -0.7222 Sb
-0.4685 -1.0576 -1.8987 Sb
0.0000 0.0000 0.0000 O
-4.3957 -0.4671 -1.2585 Hg

No. 4
PBEsol HgSb2IO, optimized geometry; M_tot = 0.40 μB per cell; offset from the most stable computed form = 1104 meV/atom; D(E_F) = 7.0 states/eV/f.u.; uncorrected formation energy = 1171 meV per atom; crystal system = tetragonal
1.0
-3.6827 -2.7057 3.0583
3.8343 -3.7078 1.3367
1.4668 3.1621 4.5637
O Hg Sb I
1 1 2 1
Cartesian
0.8092 -1.6257 4.4794 O
0.0000 0.0000 0.0000 Hg
1.9171 -1.8539 0.6683 Sb
-1.8413 -1.3529 1.5292 Sb
0.7334 1.5810 2.2819 I

No. 5
PBEsol SiHgI2O, optimized geometry; M_tot = 0.00 μB per cell; D(E_F) = 3.3 states/eV/f.u.; uncorrected formation energy = 528 meV per atom; crystal system = tetragonal
1.0
3.9985 0.0000 0.0000
0.0000 5.8087 0.0000
0.0000 0.0000 5.8087
Hg O I Si
1 1 2 1
Cartesian
0.0000 0.0000 0.0000 Hg
1.9992 0.0000 0.0000 O
0.0000 0.0000 2.9043 I
0.0000 2.9043 0.0000 I
1.9992 2.9043 2.9043 Si

No. 6
PBEsol TaHgI2O, optimized geometry; M_tot = 0.01 μB per cell; D(E_F) = 2.7 states/eV/f.u.; uncorrected formation energy = -680 meV per atom; crystal system = tetragonal
1.0
3.8783 0.0000 0.0000
0.0000 5.6694 0.0000
0.0000 0.0000 5.6694
O Ta Hg I
1 1 1 2
Cartesian
1.9391 0.0000 0.0000 O
0.0000 0.0000 0.0000 Ta
1.9391 2.8347 2.8347 Hg
0.0000 2.8347 0.0000 I
0.0000 0.0000 2.8347 I